Entry from Alexandria via LeMat-Bulk: a geometry-optimized ZnCoF5 structure (PBE+U).

```
14
Lattice="5.2271 0.0000 0.0000 -1.6648 5.1061 0.0000 -0.8087 -2.8593 6.6975" Properties=species:S:1:pos:R:3 pbc="T T T"
Zn -0.4535 0.6714 1.5663
Zn 3.2071 1.5753 5.1312
Co 2.2092 -1.4297 3.3487
Co 1.7811 2.5531 0.0000
F -0.8963 2.4160 3.7186
F 0.0864 -2.0216 6.4899
F -0.4886 0.4873 5.8823
F 1.0936 -0.3237 2.3946
F 0.7471 2.4781 1.7216
F 2.0065 -0.2313 4.9759
F 1.6600 2.5705 4.3029
F 3.2422 1.7594 0.8152
F 2.6672 4.2684 0.2076
F 3.6499 -0.1692 2.9789
```

Computed properties:
space-group type	P-1, No. 2
energy above the lowest structure with this stoichiometry	0	meV per atom